No. 1
Crystalline ZnCoBiRh2 at its relaxed geometry. Source: the Alexandria database, functional PBE.

Cell and atoms, written as POSCAR:
```
ZnCoBiRh2
1.0
4.9773 0.0000 0.0000
0.0000 4.9773 0.0000
0.0000 0.0000 4.7452
Co Rh Zn Bi
1 2 1 1
Direct
0.0000 0.0000 0.5000
0.5000 0.0000 0.0000
0.0000 0.5000 0.0000
0.5000 0.5000 0.5000
0.0000 0.0000 0.0000
```

Uncorrected energy ... -4.09 eV per atom
Space group ... P4/mmm, No. 123
Total magnetic moment ... 1.4 μB/f.u.
ΔE_f ... 126 kJ/mol of atoms



No. 2
Crystalline Th8Tc3Te4Ir at its relaxed geometry. Source: the Alexandria database, functional PBE.

Cell and atoms, written as POSCAR:
```
Th8Tc3Te4Ir
1.0
-1.1328 -2.0264 8.0559
7.7182 -4.7858 -0.1185
0.4078 8.0578 -2.2782
Th Te Tc Ir
8 4 3 1
Direct
0.7340 0.7021 0.4681
0.7642 0.3005 0.5283
0.2358 0.6995 0.4717
0.7642 0.3005 0.0363
0.2358 0.6995 0.9637
0.2660 0.2979 0.5319
0.7278 0.6995 0.9637
0.2722 0.3005 0.0363
0.0000 0.0000 0.5000
0.5000 0.0000 0.0000
0.0000 0.0000 0.0000
0.5000 0.0000 0.5000
0.5000 0.5000 0.0000
0.5000 0.5000 0.5000
0.0000 0.5000 0.5000
0.0000 0.5000 0.0000
```

Uncorrected energy ... -7.74 eV per atom
Space group ... R-3m, No. 166
Uncorrected formation energy ... -0.743 eV per atom
Total magnetic moment ... 0.0 μB/f.u.